No. 1
Nb2Pd3Se8: PBEsol geometry, meta-GGA SCAN.

V = 571 Å³ per cell
Calculated total energy = -25.716 eV per atom
Formation energy from raw total energies = -0.70 eV/atom
Calculated density = 6.61 g/cm³

a = 10.7009 Å, b = 15.0320 Å, c = 3.5506 Å
α = 90.00°, β = 90.00°, γ = 90.00°
Closest atoms and distances in Å follow each position.
Space group Pbam (No. 55)
Inequivalent atoms, fractional coordinates:
1 Nb 0.2070 0.1182 0.0000 x4  6 Se 2.56-2.61
2 Pd 0.0000 0.0000 0.5000 x2  4 Se 2.42-2.45
3 Pd 0.1288 0.7201 0.5000 x4  5 Se 2.47-2.55
4 Se 0.0374 0.1587 0.5000 x4  2 Pd 2.42-2.55, 2 Nb 2.61
5 Se 0.0526 0.6201 0.0000 x4  2 Pd 2.47, 1 Nb 2.57
6 Se 0.2284 0.9916 0.5000 x4  1 Pd 2.45, 2 Nb 2.61
7 Se 0.2416 0.2869 0.0000 x4  2 Pd 2.47, 1 Nb 2.56

No. 2
NbSnPd2Se: PBEsol geometry, meta-GGA SCAN.

V = 122 Å³ per cell
Calculated total energy = -29.965 eV per atom
Formation energy from raw total energies = 0.97 eV/atom
Calculated density = 6.85 g/cm³

a = 4.7495 Å, b = 4.7495 Å, c = 5.4096 Å
α = 90.00°, β = 90.00°, γ = 90.00°
Closest atoms and distances in Å follow each position.
Space group P4/mmm (No. 123)
Inequivalent atoms, fractional coordinates:
1 Nb 0.0000 0.0000 0.0000 x1  4 Pd 2.37
2 Sn 0.0000 0.0000 0.5000 x1  2 Nb 2.70
3 Pd 0.0000 0.5000 0.0000 x2  2 Nb 2.37
4 Se 0.5000 0.5000 0.5000 x1  4 Sn 3.36, 8 Pd 3.60

No. 3
Nb2Si2Pd: PBEsol geometry, meta-GGA SCAN.

V = 150 Å³ per cell
Calculated total energy = -24.430 eV per atom
Formation energy from raw total energies = -0.62 eV/atom
Calculated density = 7.73 g/cm³

a = 6.3856 Å, b = 6.3856 Å, c = 3.6714 Å
α = 90.00°, β = 90.00°, γ = 90.00°
Closest atoms and distances in Å follow each position.
Space group P4/mbm (No. 127)
Inequivalent atoms, fractional coordinates:
1 Nb 0.1721 0.3279 0.0000 x4  6 Si 2.56-2.67
2 Si 0.1296 0.6296 0.5000 x4  1 Si 2.34, 2 Pd 2.51, 2 Nb 2.56
3 Pd 0.0000 0.0000 0.5000 x2  4 Si 2.51

No. 4
Nb2Si2Pd: PBEsol geometry, meta-GGA SCAN.

V = 304 Å³ per cell
Calculated total energy = -24.486 eV per atom
Formation energy from raw total energies = -0.67 eV/atom
Calculated density = 7.62 g/cm³

a = 10.1547 Å, b = 3.7033 Å, c = 9.2799 Å
α = 90.00°, β = 119.54°, γ = 90.00°
Closest atoms and distances in Å follow each position.
Space group C2/m (No. 12)
Inequivalent atoms, fractional coordinates:
1 Nb 0.0295 0.0000 0.1864 x4  6 Si 2.64-2.78, 3 Pd 2.88-2.91
2 Nb 0.1970 0.0000 0.6006 x4  4 Si 2.61-2.72
3 Si 0.0315 0.5000 0.3916 x4  1 Pd 2.37, 1 Si 2.39, 4 Nb 2.61-2.65
4 Si 0.1317 0.5000 0.0631 x4  1 Si 2.33, 3 Pd 2.34-2.41
5 Pd 0.2072 0.5000 0.8546 x4  4 Si 2.34-2.41

No. 5
NbSiPd: PBEsol geometry, meta-GGA SCAN.

V = 178 Å³ per cell
Calculated total energy = -26.062 eV per atom
Formation energy from raw total energies = -0.76 eV/atom
Calculated density = 8.47 g/cm³

a = 6.4138 Å, b = 3.7482 Å, c = 7.4146 Å
α = 90.00°, β = 90.00°, γ = 90.00°
Closest atoms and distances in Å follow each position.
Space group Pnma (No. 62)
Inequivalent atoms, fractional coordinates:
1 Nb 0.0275 0.2500 0.1648 x4  5 Si 2.68-2.74, 5 Pd 2.90-2.98
2 Si 0.2312 0.7500 0.3699 x4  4 Pd 2.41-2.48, 3 Nb 2.68
3 Pd 0.1482 0.2500 0.5621 x4  4 Si 2.41-2.48

No. 6
TaNbTe2Pd: PBEsol geometry, meta-GGA SCAN.

V = 122 Å³ per cell
Calculated total energy = -40.152 eV per atom
Formation energy from raw total energies = 1.25 eV/atom
Calculated density = 8.64 g/cm³

a = 5.0523 Å, b = 5.0523 Å, c = 4.7860 Å
α = 90.00°, β = 90.00°, γ = 90.00°
Closest atoms and distances in Å follow each position.
Space group P4/mmm (No. 123)
Inequivalent atoms, fractional coordinates:
1 Ta 0.0000 0.0000 0.0000 x1  8 Te 3.48, 4 Nb 3.57
2 Nb 0.5000 0.5000 0.0000 x1  2 Pd 2.39
3 Te 0.0000 0.5000 0.5000 x2  2 Pd 2.53
4 Pd 0.5000 0.5000 0.5000 x1  2 Nb 2.39, 4 Te 2.53